Compound: TaIn2Mo
Source: the Alexandria database
Functional: PBE
Structure: optimized geometry

Structure (POSCAR):
```
TaIn2Mo
1.0
2.929 0.000 0.000
0.000 2.929 0.000
0.000 0.000 9.404
Mo In Ta
1 2 1
Direct
0.000 0.000 0.510
0.500 0.500 0.278
0.000 0.000 0.977
0.500 0.500 0.735
```

Energy above the lowest structure with this stoichiometry, eV per atom: 0.197
M_tot, μB per formula unit: 0.00
Formation energy from the elements, meV/atom: 388